# 1
Pm3Ga4Pd | PBE | optimized geometry

Geometry as extended XYZ:
```
8
Lattice="-1.466 0.139 4.409 -0.626 -6.642 0.001 7.114 2.680 -0.170" Properties=species:S:1:pos:R:3 pbc="T T T"
Pm 2.139 -0.202 0.717
Pm 2.884 -3.622 3.523
Pm -0.313 -3.321 0.001
Ga 4.512 -1.775 1.556
Ga 0.510 -2.048 2.685
Ga 0.258 -4.724 2.685
Ga 4.764 0.901 1.555
Pd -0.733 0.070 2.204
```

## Properties
Formation energy from the elements in meV/atom: -509



# 2
PmGa7Pd5 | PBE | optimized geometry

Geometry as extended XYZ:
```
13
Lattice="5.105 0.000 2.097 2.630 6.328 0.861 0.148 -0.182 6.903" Properties=species:S:1:pos:R:3 pbc="T T T"
Pm 2.788 6.118 7.738
Ga 4.265 2.218 4.142
Ga 3.589 4.002 5.787
Ga 6.077 2.149 6.991
Ga 6.846 4.165 5.121
Ga 2.000 1.459 2.393
Ga 4.731 4.981 3.008
Ga 3.214 1.001 6.702
Pd 2.677 0.014 4.358
Pd 0.138 0.014 3.315
Pd 3.820 3.014 1.574
Pd 1.281 3.014 0.531
Pd 5.869 4.723 7.500
```

## Properties
Formation energy from the elements in meV/atom: -603



# 3
Pm2GaPd2 | PBE | optimized geometry

Geometry as extended XYZ:
```
5
Lattice="4.069 0.000 1.824 1.265 4.839 2.628 -0.088 0.174 5.647" Properties=species:S:1:pos:R:3 pbc="T T T"
Pm 4.075 3.515 7.259
Pm 1.170 1.498 2.840
Ga 0.000 0.000 0.000
Pd 2.948 3.626 4.325
Pd 2.298 1.387 5.774
```

## Properties
Formation energy from the elements in meV/atom: -808



Question: formation energy from the elements of number 3 (Pm2GaPd2)?
Answer: -808 meV/atom



What did the third record say?
Pm2GaPd2 | PBE | optimized geometry

Geometry as extended XYZ:
```
5
Lattice="4.069 0.000 1.824 1.265 4.839 2.628 -0.088 0.174 5.647" Properties=species:S:1:pos:R:3 pbc="T T T"
Pm 4.075 3.515 7.259
Pm 1.170 1.498 2.840
Ga 0.000 0.000 0.000
Pd 2.948 3.626 4.325
Pd 2.298 1.387 5.774
```

## Properties
Formation energy from the elements in meV/atom: -808



Question: Which formula does entry 1 have?
Answer: Pm3Ga4Pd